Material: NaYMn3
Method: DFT, meta-GGA SCAN
State: single point on PBEsol structure

Computed properties:
Density of states at the Fermi level   0.7000 states/eV/atom
E_form   1119 meV per atom
DFT total energy   -1.1940 Ry per atom
Calculated density   3.504 g cm⁻³
Total moment   12.0 μB/cell

Cell: 5.081 5.081 5.081 Å, 90.00 90.00 90.00°
Space group Pm-3m (No. 221)
Asymmetric unit:
1 Na 0.000 0.000 0.000 (multiplicity 1)
2 Y 0.500 0.500 0.500 (multiplicity 1)
3 Mn 0.000 0.500 0.500 (multiplicity 3)